Computed, not measured: an optimized crystal structure of KInCu3 at the PBE level of DFT.

Output
- Electronic total energy: -9.01 eV/cell
- Offset from the most stable computed form: 4.82 eV/f.u.
- E_form: 1.423 eV per atom
- N(E_F): 6.45 states/eV/f.u.

Geometry as CIF:
```
data_KInCu3
_chemical_formula_sum 'K1 In1 Cu3'
_symmetry_space_group_name_H-M 'P m -3 m'
_symmetry_Int_Tables_number 221
_symmetry_space_group_name_Hall '-P 4 2 3'
_cell_length_a 5.245
_cell_length_b 5.245
_cell_length_c 5.245
_cell_angle_alpha 90.00
_cell_angle_beta 90.00
_cell_angle_gamma 90.00
loop_
_atom_site_label
_atom_site_type_symbol
_atom_site_fract_x
_atom_site_fract_y
_atom_site_fract_z
_atom_site_occupancy
K1 K 0.000 0.000 0.000 1
In1 In 0.500 0.500 0.500 1
Cu1 Cu 0.000 0.000 0.500 1
```